! Si3NiF, relaxed, DFT GGA+U; values from VASP
&SYSTEM
  ibrav = 0, nat = 5, ntyp = 3
/
ATOMIC_SPECIES
Si 28.09 Si.upf
Ni 58.69 Ni.upf
F 19.00 F.upf
CELL_PARAMETERS angstrom
-3.932 1.698 0.592
-1.557 -2.502 -3.164
-0.900 -3.090 2.887
ATOMIC_POSITIONS crystal
Si 0.500 0.000 0.000
Ni 0.000 0.000 0.000
Si 0.000 0.500 0.000
F 0.500 0.500 0.500
Si 0.000 0.000 0.500
! N(E_F): 4.21 states/eV/f.u.
! Volume: 80.8 Å³ per cell
! Excess energy over the best structure of this formula in the dataset: 0 meV/atom
! DFT total energy: -19.0 eV for the cell shown